Entry 1:
First-principles (PBE) data for a relaxed LiTmSi2 crystal, as listed in Alexandria.

The structure in POSCAR format:
```
LiTmSi2
1.0
-1.132 -0.603 -3.903
-0.412 -4.002 0.738
-3.911 0.595 1.042
Li Si Tm
1 2 1
Direct
0.500 0.000 0.000
0.000 0.000 0.500
0.000 0.500 0.000
0.500 0.500 0.500
```

Results
space-group type: P4/mmm
magnetic moment: 0.000 μB/f.u.
uncorrected formation energy: -0.40 eV/atom
uncorrected energy: -4.71 eV per atom

***

Entry 2:
First-principles (PBE) data for a relaxed La2ScTaSb crystal, as listed in Alexandria.

The structure in POSCAR format:
```
La2ScTaSb
1.0
-0.397 -1.160 5.843
-1.338 -4.927 -1.069
5.757 -1.580 0.077
La Sb Ta Sc
2 1 1 1
Direct
0.500 0.000 0.000
0.000 0.000 0.500
0.000 0.000 0.000
0.500 0.500 0.500
0.000 0.500 0.000
```

Results
space-group type: P4/mmm
magnetic moment: 3.795 μB/f.u.
uncorrected formation energy: 0.76 eV/atom
uncorrected energy: -5.67 eV per atom

***

Entry 3:
First-principles (PBE) data for a relaxed Pu4Mn4Al crystal, as listed in Alexandria.

The structure in POSCAR format:
```
Pu4Mn4Al
1.0
4.148 0.000 0.000
2.075 6.390 1.088
2.075 1.088 6.390
Pu Al Mn
4 1 4
Direct
0.500 0.312 0.688
0.246 0.254 0.253
0.754 0.746 0.747
0.500 0.688 0.312
0.000 0.000 0.000
0.804 0.391 0.001
0.196 0.999 0.609
0.804 0.001 0.391
0.196 0.609 0.999
```

Results
space-group type: Immm
magnetic moment: 7.355 μB/f.u.
uncorrected energy: -10.73 eV per atom
calculated formation energy: 128 meV per atom

***

Entry 4:
First-principles (PBE) data for a relaxed VSb crystal, as listed in Alexandria.

The structure in POSCAR format:
```
VSb
1.0
5.817 0.000 0.000
0.000 5.817 0.000
0.000 0.000 5.298
V Sb
4 4
Direct
0.365 0.365 0.500
0.865 0.135 0.000
0.635 0.635 0.500
0.135 0.865 0.000
0.300 0.300 0.000
0.700 0.700 0.000
0.200 0.800 0.500
0.800 0.200 0.500
```

Results
space-group type: P4_2/mnm
magnetic moment: 0.000 μB/f.u.
uncorrected formation energy: 0.38 eV/atom
uncorrected energy: -6.24 eV per atom